Computed, not measured: crystalline SiMoI2O at its relaxed geometry at the GGA+U level of DFT.

Lattice parameters (Å, degrees): 5.9030 5.9030 3.8908 90.00 90.00 90.00
With the nearest neighbours (Å) after each atom.
Positions (direct):
I  0.0000  0.5000  0.0000  2 Mo 2.95
I  0.5000  0.0000  0.0000  2 Mo 2.95
Mo  0.0000  0.0000  0.0000  2 O 1.95
Si  0.5000  0.5000  0.5000  8 I 3.53, 2 Si 3.89
O  0.0000  0.0000  0.5000  2 Mo 1.95

V	27.12	Å³/atom
E above lowest polymorph	145	meV per atom
symmetry	No. 123
Fermi-level density of states	0.658	states/eV/atom